{
  "formula": "MnAgSnPt2",
  "functional": "GGA-PBE",
  "state": "optimized geometry",
  "e_form_mev_per_atom": 745,
  "sg": "P4/mmm, No. 123",
  "lattice": [[4.584, 0.000, 0.000], [0.000, 4.584, 0.000], [0.000, 0.000, 4.910]],
  "species": ["Mn", "Ag", "Sn", "Pt", "Pt"],
  "frac_coords": [[0.000, 0.000, 0.000], [0.000, 0.000, 0.500], [0.500, 0.500, 0.500], [0.000, 0.500, 0.000], [0.500, 0.000, 0.000]]
}

---

{
  "formula": "Sr2MnAgPt",
  "functional": "GGA-PBE",
  "state": "optimized geometry",
  "e_form_mev_per_atom": 553,
  "sg": "P4/mmm, No. 123",
  "lattice": [[5.685, 0.000, 0.000], [0.000, 5.685, 0.000], [0.000, 0.000, 4.742]],
  "species": ["Sr", "Sr", "Mn", "Ag", "Pt"],
  "frac_coords": [[0.000, 0.500, 0.000], [0.500, 0.000, 0.000], [0.000, 0.000, 0.000], [0.000, 0.000, 0.500], [0.500, 0.500, 0.500]]
}